[1]
# TbDyPd2 | Alexandria via LeMat-Bulk | GGA-PBE | optimized geometry
data_TbDyPd2
_cell_length_a 4.0961
_cell_length_b 4.0961
_cell_length_c 19.9178
_cell_angle_alpha 90.00
_cell_angle_beta 90.00
_cell_angle_gamma 120.00
_space_group_name_H-M_alt 'R -3 m'
_space_group_IT_number 166
_space_group_name_Hall '-R 3 2"'
loop_
_atom_site_label
_atom_site_fract_x
_atom_site_fract_y
_atom_site_fract_z
Tb1 0.0000 0.0000 0.0000
Dy1 0.0000 0.0000 0.5000
Pd1 0.0000 0.0000 0.2494
# Energy relative to the elements = -0.74 eV/atom
# Total magnetization = 0.00 Bohr magnetons per cell
# Distance to the lowest polymorph of the same formula = 0.1758 eV/atom

---

[2]
# Ac2ErAu | Alexandria via LeMat-Bulk | GGA-PBE | optimized geometry
data_Ac2ErAu
_cell_length_a 3.9248
_cell_length_b 3.9248
_cell_length_c 8.8728
_cell_angle_alpha 90.00
_cell_angle_beta 90.00
_cell_angle_gamma 90.00
_space_group_name_H-M_alt 'P 4/m m m'
_space_group_IT_number 123
_space_group_name_Hall '-P 4 2'
loop_
_atom_site_label
_atom_site_fract_x
_atom_site_fract_y
_atom_site_fract_z
Ac1 0.0000 0.0000 0.2158
Er1 0.5000 0.5000 0.5000
Au1 0.5000 0.5000 0.0000
# Energy relative to the elements = -0.32 eV/atom
# Total magnetization = 0.00 Bohr magnetons per cell
# Distance to the lowest polymorph of the same formula = 0.0000 eV/atom

---

[3]
# La4CoI5 | Alexandria via LeMat-Bulk | GGA-PBE | optimized geometry
data_La4CoI5
_cell_length_a 19.4917
_cell_length_b 4.4589
_cell_length_c 9.3881
_cell_angle_alpha 90.00
_cell_angle_beta 103.18
_cell_angle_gamma 90.00
_space_group_name_H-M_alt 'C 1 2/m 1'
_space_group_IT_number 12
_space_group_name_Hall '-C 2y'
loop_
_atom_site_label
_atom_site_fract_x
_atom_site_fract_y
_atom_site_fract_z
La1 0.0013 0.0000 0.2843
La2 0.1316 0.5000 0.5678
Co1 0.0000 0.5000 0.5000
I1 0.0000 0.5000 0.0000
I2 0.1681 0.0000 0.8355
I3 0.1744 0.0000 0.3350
# Total magnetization = 0.00 Bohr magnetons per cell
# Formation energy (no corrections) = -1.1437 eV per atom